Record 1
{
  "formula": "CsGaBi3",
  "functional": "GGA-PBE",
  "state": "optimized geometry",
  "lattice_angstrom": [[6.374, 0.000, 0.000], [0.000, 6.374, 0.000], [0.000, 0.000, 6.374]],
  "species": ["Cs", "Ga", "Bi", "Bi", "Bi"],
  "fractional_positions": [[0.000, 0.000, 0.000], [0.500, 0.500, 0.500], [0.000, 0.000, 0.500], [0.000, 0.500, 0.000], [0.500, 0.000, 0.000]],
  "ef_ev_per_atom": 1.2984,
  "final_energy_ev_per_atom": -1.81,
  "n_ef_per_ev_fu": 6.52,
  "de_polymorph_kj_per_mol_atoms": 136.36
}

---

Record 2
{
  "formula": "CsCa2Cl",
  "functional": "GGA-PBE",
  "state": "optimized geometry",
  "lattice_angstrom": [[8.286, 0.000, 0.000], [0.000, 8.286, 0.000], [0.000, 0.000, 14.244]],
  "species": ["Cs", "Cs", "Cs", "Cs", "Ca", "Ca", "Ca", "Ca", "Ca", "Ca", "Ca", "Ca", "Cl", "Cl", "Cl", "Cl"],
  "fractional_positions": [[0.000, 0.250, 0.375], [0.000, 0.750, 0.625], [0.500, 0.250, 0.125], [0.500, 0.750, 0.875], [0.000, 0.000, 0.000], [0.000, 0.500, 0.000], [0.250, 0.250, 0.750], [0.250, 0.750, 0.250], [0.500, 0.000, 0.500], [0.500, 0.500, 0.500], [0.750, 0.250, 0.750], [0.750, 0.750, 0.250], [0.000, 0.250, 0.875], [0.000, 0.750, 0.125], [0.500, 0.250, 0.625], [0.500, 0.750, 0.375]],
  "e_form_raw_mev_per_atom": -501,
  "final_energy_ev_per_atom": -2.18,
  "n_ef_per_ev_fu": 2.96,
  "de_polymorph_kj_per_mol_atoms": 0.00
}

---

Record 3
{
  "formula": "LiTiGe2",
  "functional": "GGA-PBE",
  "state": "optimized geometry",
  "lattice_angstrom": [[6.384, 0.000, 0.000], [0.000, 6.384, 0.000], [0.000, 0.000, 6.384]],
  "species": ["Li", "Li", "Li", "Li", "Ti", "Ti", "Ti", "Ti", "Ge", "Ge", "Ge", "Ge", "Ge", "Ge", "Ge", "Ge"],
  "fractional_positions": [[0.000, 0.000, 0.000], [0.000, 0.500, 0.500], [0.500, 0.000, 0.500], [0.500, 0.500, 0.000], [0.000, 0.000, 0.500], [0.000, 0.500, 0.000], [0.500, 0.000, 0.000], [0.500, 0.500, 0.500], [0.250, 0.250, 0.250], [0.250, 0.250, 0.750], [0.250, 0.750, 0.250], [0.250, 0.750, 0.750], [0.750, 0.250, 0.250], [0.750, 0.250, 0.750], [0.750, 0.750, 0.250], [0.750, 0.750, 0.750]],
  "ef_ev_per_atom": -0.1729,
  "final_energy_ev_per_atom": -4.93,
  "n_ef_per_ev_fu": 3.06,
  "de_polymorph_kj_per_mol_atoms": 15.11
}

---

Record 4
{
  "formula": "Ge3BiAu",
  "functional": "GGA-PBE",
  "state": "optimized geometry",
  "lattice_angstrom": [[5.079, 0.000, 0.000], [0.000, 5.079, 0.000], [0.000, 0.000, 5.079]],
  "species": ["Ge", "Ge", "Ge", "Bi", "Au"],
  "fractional_positions": [[0.000, 0.000, 0.500], [0.000, 0.500, 0.000], [0.500, 0.000, 0.000], [0.500, 0.500, 0.500], [0.000, 0.000, 0.000]],
  "ef_ev_per_atom": 0.4967,
  "final_energy_ev_per_atom": -3.71,
  "n_ef_per_ev_fu": 3.04,
  "de_polymorph_kj_per_mol_atoms": 0.00
}

---

Record 5
{
  "formula": "LiMg2Fe",
  "functional": "GGA-PBE",
  "state": "optimized geometry",
  "lattice_angstrom": [[3.944, 0.000, 0.000], [0.000, 3.944, 0.000], [0.000, 0.000, 8.935]],
  "species": ["Li", "Li", "Mg", "Mg", "Mg", "Mg", "Fe", "Fe"],
  "fractional_positions": [[0.000, 0.000, 0.000], [0.500, 0.500, 0.500], [0.000, 0.000, 0.500], [0.000, 0.500, 0.750], [0.500, 0.000, 0.250], [0.500, 0.500, 0.000], [0.000, 0.500, 0.250], [0.500, 0.000, 0.750]],
  "ef_ev_per_atom": 0.2791,
  "final_energy_ev_per_atom": -3.11,
  "n_ef_per_ev_fu": 5.35
}

---

Record 6
{
  "formula": "Cu2AgMo",
  "functional": "GGA-PBE",
  "state": "optimized geometry",
  "lattice_angstrom": [[3.967, 0.000, 0.000], [0.000, 3.967, 0.000], [0.000, 0.000, 7.403]],
  "species": ["Cu", "Cu", "Cu", "Cu", "Ag", "Ag", "Mo", "Mo"],
  "fractional_positions": [[0.000, 0.000, 0.000], [0.000, 0.500, 0.250], [0.500, 0.000, 0.750], [0.500, 0.500, 0.500], [0.000, 0.000, 0.500], [0.500, 0.500, 0.000], [0.000, 0.500, 0.750], [0.500, 0.000, 0.250]],
  "ef_ev_per_atom": 0.5551,
  "final_energy_ev_per_atom": -4.91,
  "n_ef_per_ev_fu": 3.78,
  "de_polymorph_kj_per_mol_atoms": 33.98
}

---

Record 7
{
  "formula": "TeRu2Se",
  "functional": "GGA-PBE",
  "state": "optimized geometry",
  "lattice_angstrom": [[6.464, 0.000, 0.000], [0.000, 6.464, 0.000], [0.000, 0.000, 6.464]],
  "species": ["Te", "Te", "Te", "Te", "Ru", "Ru", "Ru", "Ru", "Ru", "Ru", "Ru", "Ru", "Se", "Se", "Se", "Se"],
  "fractional_positions": [[0.000, 0.000, 0.000], [0.000, 0.500, 0.500], [0.500, 0.000, 0.500], [0.500, 0.500, 0.000], [0.250, 0.250, 0.250], [0.250, 0.250, 0.750], [0.250, 0.750, 0.250], [0.250, 0.750, 0.750], [0.750, 0.250, 0.250], [0.750, 0.250, 0.750], [0.750, 0.750, 0.250], [0.750, 0.750, 0.750], [0.000, 0.000, 0.500], [0.000, 0.500, 0.000], [0.500, 0.000, 0.000], [0.500, 0.500, 0.500]],
  "e_form_raw_mev_per_atom": 313,
  "final_energy_ev_per_atom": -5.98,
  "n_ef_per_ev_fu": 4.86,
  "de_polymorph_kj_per_mol_atoms": 23.71
}

---

Record 8
{
  "formula": "Zr2InSe4",
  "functional": "GGA-PBE",
  "state": "optimized geometry",
  "lattice_angstrom": [[1.942, -6.557, 0.000], [1.942, 6.557, 0.000], [0.000, 0.000, 13.675]],
  "species": ["Zr", "Zr", "Zr", "Zr", "In", "In", "Se", "Se", "Se", "Se", "Se", "Se", "Se", "Se"],
  "fractional_positions": [[0.137, 0.863, 0.561], [0.137, 0.863, 0.939], [0.863, 0.137, 0.061], [0.863, 0.137, 0.439], [0.409, 0.591, 0.750], [0.591, 0.409, 0.250], [0.078, 0.922, 0.750], [0.228, 0.772, 0.116], [0.228, 0.772, 0.384], [0.500, 0.500, 0.000], [0.500, 0.500, 0.500], [0.772, 0.228, 0.616], [0.772, 0.228, 0.884], [0.922, 0.078, 0.250]],
  "e_form_raw_mev_per_atom": -1052,
  "final_energy_ev_per_atom": -5.88,
  "n_ef_per_ev_fu": 3.10,
  "de_polymorph_kj_per_mol_atoms": 9.26
}

---

Question: Number 3 is which compound?
Answer: LiTiGe2